An optimized crystal structure of Li4Mn2Nb3Cr3O16. Source: the Alexandria database, functional PBE with a Hubbard U. Values from VASP.

Cell and atoms, written as Quantum ESPRESSO input:
```
&SYSTEM
  ibrav = 0, nat = 28, ntyp = 5
/
ATOMIC_SPECIES
Li 6.94 Li.upf
Mn 54.94 Mn.upf
Nb 92.91 Nb.upf
Cr 52.00 Cr.upf
O 16.00 O.upf
CELL_PARAMETERS angstrom
5.258 -3.072 0.000
5.258 3.072 0.000
-0.069 0.000 10.070
ATOMIC_POSITIONS angstrom
Li 0.000 0.000 0.000
Li 0.068 0.000 4.898
Li 3.476 0.000 3.582
Li 6.972 0.000 9.067
Mn 3.389 0.000 0.136
Mn 6.837 0.000 4.792
Nb 4.298 1.519 7.154
Nb 4.298 -1.519 7.154
Nb 8.660 0.000 2.135
Cr 1.706 0.000 7.168
Cr 6.077 1.523 2.110
Cr 6.077 -1.523 2.110
O 10.456 0.000 8.193
O 2.696 1.409 8.281
O 4.355 1.656 0.995
O 1.562 0.000 1.036
O 6.001 1.651 6.081
O 3.468 0.000 6.059
O 5.100 0.000 8.211
O 2.696 -1.409 8.281
O 5.382 0.000 3.249
O 7.780 1.380 3.282
O 6.974 0.000 1.008
O 4.355 -1.656 0.995
O 8.818 0.000 6.052
O 6.001 -1.651 6.081
O 7.780 -1.380 3.282
O 10.456 0.000 3.103
```

Calculated values
As for the space-group type: Cm, No. 8. Its total magnetic moment is 19.0 μB per cell. The value obtained for the total DFT energy (no corrections) is -214.9 eV/cell.


An optimized crystal structure of Li24Mn7Cr5O36. Source: the Alexandria database, functional PBE with a Hubbard U. Values from VASP.

Cell and atoms, written as Quantum ESPRESSO input:
```
&SYSTEM
  ibrav = 0, nat = 72, ntyp = 4
/
ATOMIC_SPECIES
Li 6.94 Li.upf
Mn 54.94 Mn.upf
Cr 52.00 Cr.upf
O 16.00 O.upf
CELL_PARAMETERS angstrom
5.011 0.000 0.000
-0.800 9.707 0.000
-2.390 -1.789 12.929
ATOMIC_POSITIONS angstrom
Li 0.000 0.000 0.000
Li -1.591 3.963 6.477
Li -0.774 9.319 2.804
Li -1.541 3.584 9.335
Li -0.017 7.135 1.099
Li -0.785 1.394 7.564
Li -1.641 3.173 12.247
Li 0.003 -0.783 5.813
Li 0.030 -1.182 8.632
Li 0.835 4.566 2.174
Li -0.673 8.106 11.431
Li 0.969 4.180 5.044
Li 0.080 5.927 9.705
Li 1.711 1.991 3.244
Li 0.863 3.749 7.937
Li 2.483 -0.184 1.539
Li 0.892 3.366 10.790
Li 2.507 -0.587 4.333
Li 2.571 -0.976 7.177
Li 3.398 4.764 0.733
Li 2.536 6.562 5.416
Li 1.762 0.785 11.859
Li 3.290 4.349 3.576
Li 1.728 8.307 10.075
Mn -2.419 5.724 11.126
Mn 0.081 6.359 6.852
Mn 1.725 1.612 6.130
Mn 1.723 1.173 8.974
Mn 2.532 6.941 2.525
Mn 2.581 6.138 8.273
Mn 4.184 2.185 1.816
Cr -0.763 1.790 4.683
Cr -0.813 0.972 10.423
Cr 0.003 6.740 3.985
Cr 1.708 2.400 0.364
Cr 0.069 5.548 12.592
O -1.698 0.094 8.899
O -0.895 5.853 2.454
O 0.053 3.445 0.631
O -1.538 7.411 7.098
O -0.118 3.054 3.397
O -1.702 6.996 9.851
O -1.439 -0.297 11.666
O -0.629 5.488 5.247
O 0.773 1.120 1.539
O -0.824 5.072 8.010
O -1.495 6.619 12.602
O 0.123 2.683 6.178
O -0.824 4.648 11.079
O 0.815 0.719 4.654
O 0.131 2.250 9.263
O 0.929 8.008 2.796
O 0.993 0.335 7.397
O -0.049 1.872 12.060
O 1.811 6.077 0.940
O 0.776 7.629 5.591
O 0.847 -0.083 10.161
O 1.645 5.679 3.702
O 0.970 7.214 8.335
O 2.594 3.272 1.893
O 3.262 1.307 0.329
O 1.682 5.272 6.787
O 1.001 6.807 11.419
O 2.601 2.876 4.959
O 1.866 4.873 9.549
O 3.475 0.917 3.073
O 2.449 2.453 7.712
O 3.238 8.212 1.267
O 1.710 4.470 12.308
O 3.316 0.533 5.832
O 2.642 2.057 10.465
O 3.453 7.824 4.004
```

Calculated values
As for the space-group type: P1, No. 1. Its total magnetic moment is 14.9 μB per cell. The value obtained for the total DFT energy (no corrections) is -447.4 eV/cell.


Q: Among the records above, which one has the highest total DFT energy (no corrections)?
A: Li4Mn2Nb3Cr3O16


Q: What is the total magnetic moment in the first record?
A: 19.0 μB per cell